The following is a PBE-GGA calculation of a geometry-optimized CrMoOsPd2 structure, from Alexandria.

Cell: 4.850 4.850 4.437 Å, 90.00 90.00 90.00°
Sites, in units of the cell vectors:
Cr (0.000, 0.000, 0.000)
Mo (0.500, 0.500, 0.000)
Os (0.000, 0.000, 0.500)
Pd (0.000, 0.500, 0.500)
Pd (0.500, 0.000, 0.500)

Properties
DOS at the Fermi energy	1.16	states/eV per atom
ΔE_f	1.588	eV/atom
symmetry	P4/mmm